Record 1
{
  "formula": "NpTlTeSe",
  "functional": "PBE",
  "state": "optimized geometry",
  "cell": [[-2.381, 3.228, 1.642], [1.992, -2.790, 2.652], [7.457, 3.545, -1.874]],
  "species": ["Te", "Np", "Se", "Tl"],
  "frac_coords": [[0.114, 0.955, 0.084], [0.292, 0.544, 0.851], [0.506, 0.151, 0.673], [0.966, 0.381, 0.362]],
  "dos_at_fermi_per_ev_cell": 10.873,
  "sg": "R3m",
  "raw_formation_energy_ev_per_atom": -0.711,
  "crystal_system": "trigonal"
}

---

Record 2
{
  "formula": "InAs2Pb",
  "functional": "PBE",
  "state": "optimized geometry",
  "cell": [[-0.505, 2.943, -6.604], [-4.348, 2.785, -5.087], [-1.791, 5.821, -3.929]],
  "species": ["In", "As", "As", "Pb"],
  "frac_coords": [[0.250, 0.250, 0.250], [0.992, 0.992, 0.992], [0.508, 0.508, 0.508], [0.750, 0.750, 0.750]],
  "dos_at_fermi_per_ev_cell": 2.298,
  "sg": "R-3m",
  "ef_ev_per_fu": 0.019,
  "crystal_system": "trigonal"
}

---

Record 3
{
  "formula": "Si3GeW",
  "functional": "PBE",
  "state": "optimized geometry",
  "cell": [[-0.519, 3.663, -3.031], [-4.501, 0.603, 1.499], [1.530, 3.015, 3.382]],
  "species": ["Si", "Si", "Si", "W", "Ge"],
  "frac_coords": [[0.000, 0.500, 0.000], [0.500, 0.000, 0.000], [0.000, 0.000, 0.500], [0.000, 0.000, 0.000], [0.500, 0.500, 0.500]],
  "dos_at_fermi_per_ev_cell": 4.125,
  "sg": "Pm-3m",
  "raw_formation_energy_ev_per_atom": 0.791,
  "crystal_system": "cubic"
}

---

Record 4
{
  "formula": "Pr4GaAu",
  "functional": "PBE",
  "state": "optimized geometry",
  "cell": [[-5.877, -0.882, 1.040], [1.283, -0.870, 6.512], [2.548, 9.151, 0.721]],
  "species": ["Au", "Au", "Pr", "Pr", "Pr", "Pr", "Pr", "Pr", "Pr", "Pr", "Ga", "Ga"],
  "frac_coords": [[0.819, 0.750, 0.475], [0.181, 0.250, 0.525], [0.971, 0.010, 0.198], [0.548, 0.250, 0.848], [0.452, 0.750, 0.152], [0.029, 0.990, 0.802], [0.971, 0.490, 0.198], [0.362, 0.750, 0.557], [0.638, 0.250, 0.443], [0.029, 0.510, 0.802], [0.648, 0.750, 0.901], [0.352, 0.250, 0.099]],
  "dos_at_fermi_per_ev_cell": 14.657,
  "sg": "P2_1/m",
  "ef_ev_per_fu": -2.356,
  "crystal_system": "monoclinic"
}

---

Record 5
{
  "formula": "LiAgTe2",
  "functional": "PBE",
  "state": "optimized geometry",
  "cell": [[-2.056, 2.831, 0.842], [-2.953, -1.960, -0.621], [-0.067, -2.348, 7.727]],
  "species": ["Ag", "Te", "Te", "Li"],
  "frac_coords": [[0.000, 0.000, 0.540], [0.500, 0.500, 0.355], [0.000, 0.000, 0.889], [0.500, 0.500, 0.716]],
  "dos_at_fermi_per_ev_cell": 1.210,
  "sg": "P4mm",
  "raw_formation_energy_ev_per_atom": -0.266,
  "crystal_system": "tetragonal"
}

---

Record 6
{
  "formula": "Nd8Tl2Ga",
  "functional": "PBE",
  "state": "optimized geometry",
  "cell": [[5.340, 0.000, 0.000], [0.000, 6.964, 0.093], [-2.670, -2.840, 9.321]],
  "species": ["Nd", "Nd", "Nd", "Nd", "Nd", "Nd", "Nd", "Nd", "Tl", "Tl", "Ga"],
  "frac_coords": [[0.345, 0.011, 0.690], [0.409, 0.534, 0.818], [0.591, 0.466, 0.182], [0.208, 0.316, 0.417], [0.792, 0.684, 0.583], [0.010, 0.772, 0.020], [0.655, 0.989, 0.310], [0.990, 0.228, 0.980], [0.824, 0.254, 0.647], [0.176, 0.746, 0.353], [0.500, 0.000, 0.000]],
  "dos_at_fermi_per_ev_cell": 12.353,
  "sg": "C2/m",
  "ef_ev_per_fu": -2.376,
  "crystal_system": "monoclinic"
}

---

Record 7
{
  "formula": "Ce2InOs",
  "functional": "PBE",
  "state": "optimized geometry",
  "cell": [[3.992, 0.000, 0.000], [1.996, 3.457, 0.000], [1.996, 1.152, 8.078]],
  "species": ["In", "Ce", "Ce", "Os"],
  "frac_coords": [[0.500, 0.500, 0.500], [0.731, 0.731, 0.808], [0.269, 0.269, 0.192], [0.000, 0.000, 0.000]],
  "dos_at_fermi_per_ev_cell": 6.440,
  "sg": "R-3m",
  "ef_ev_per_fu": -0.663,
  "crystal_system": "trigonal"
}

---

Record 8
{
  "formula": "NdErH",
  "functional": "PBE",
  "state": "optimized geometry",
  "cell": [[3.430, 0.000, 0.000], [0.000, 3.430, 0.000], [-1.715, -1.715, 6.079]],
  "species": ["H", "Nd", "Er"],
  "frac_coords": [[0.217, 0.217, 0.435], [0.746, 0.746, 0.493], [0.036, 0.036, 0.073]],
  "dos_at_fermi_per_ev_cell": 2.798,
  "sg": "I4mm",
  "total_energy_ev_per_atom": -4.340,
  "crystal_system": "tetragonal"
}

---

Record 9
{
  "formula": "NaSrPd",
  "functional": "PBE",
  "state": "optimized geometry",
  "cell": [[-0.134, -6.141, 0.921], [5.615, 3.478, 3.063], [-4.587, 1.163, 7.087]],
  "species": ["Na", "Na", "Na", "Na", "Sr", "Sr", "Sr", "Sr", "Pd", "Pd", "Pd", "Pd"],
  "frac_coords": [[0.697, 0.893, 0.750], [0.303, 0.107, 0.250], [0.803, 0.107, 0.250], [0.197, 0.893, 0.750], [0.183, 0.365, 0.605], [0.817, 0.635, 0.395], [0.683, 0.365, 0.895], [0.317, 0.635, 0.105], [0.601, 0.202, 0.549], [0.399, 0.798, 0.451], [0.101, 0.202, 0.951], [0.899, 0.798, 0.049]],
  "dos_at_fermi_per_ev_cell": 4.819,
  "sg": "Cmce",
  "ef_ev_per_fu": -0.896,
  "crystal_system": "orthorhombic"
}

---

Record 10
{
  "formula": "CaPIr",
  "functional": "PBE",
  "state": "optimized geometry",
  "cell": [[5.746, -0.005, -0.001], [3.937, 4.185, 0.001], [-4.757, -2.284, 2.272]],
  "species": ["P", "Ir", "Ca"],
  "frac_coords": [[0.706, 0.706, 0.000], [0.292, 0.292, 0.000], [0.003, 0.003, 0.000]],
  "dos_at_fermi_per_ev_cell": 1.947,
  "sg": "Imm2",
  "ef_ev_per_fu": -1.532,
  "crystal_system": "orthorhombic"
}

---

Record 11
{
  "formula": "NaTcIr2",
  "functional": "PBE",
  "state": "optimized geometry",
  "cell": [[-2.820, -6.340, 2.333], [4.946, -0.215, 5.393], [-0.623, -1.939, 5.463]],
  "species": ["Na", "Na", "Ir", "Ir", "Ir", "Ir", "Tc", "Tc"],
  "frac_coords": [[0.500, 0.500, 0.000], [0.250, 0.750, 0.500], [0.677, 0.125, 0.250], [0.375, 0.323, 0.750], [0.073, 0.625, 0.250], [0.875, 0.927, 0.750], [0.000, 0.000, 0.000], [0.750, 0.250, 0.500]],
  "dos_at_fermi_per_ev_cell": 6.879,
  "sg": "I-42d",
  "ef_ev_per_fu": 3.020,
  "crystal_system": "tetragonal"
}

---

Record 12
{
  "formula": "Mg3FeRe",
  "functional": "PBE",
  "state": "optimized geometry",
  "cell": [[-0.345, 3.496, 3.533], [1.469, -3.312, 3.420], [4.748, 1.279, -0.801]],
  "species": ["Mg", "Mg", "Mg", "Re", "Fe"],
  "frac_coords": [[0.000, 0.000, 0.500], [0.500, 0.000, 0.000], [0.000, 0.500, 0.000], [0.000, 0.000, 0.000], [0.500, 0.500, 0.500]],
  "dos_at_fermi_per_ev_cell": 14.046,
  "sg": "Pm-3m",
  "ef_ev_per_fu": 8.777,
  "crystal_system": "cubic"
}

---

Record 13
{
  "formula": "ReHgCl",
  "functional": "PBE",
  "state": "optimized geometry",
  "cell": [[5.883, 0.010, -0.007], [3.985, 4.328, 0.007], [-4.662, -2.788, 2.259]],
  "species": ["Hg", "Re", "Cl"],
  "frac_coords": [[0.332, 0.332, 0.000], [0.619, 0.619, 0.000], [0.049, 0.049, 0.000]],
  "dos_at_fermi_per_ev_cell": 2.155,
  "sg": "Imm2",
  "raw_formation_energy_ev_per_atom": 1.032,
  "crystal_system": "orthorhombic"
}

---

Record 14
{
  "formula": "Ba2Cd3Ag5",
  "functional": "PBE",
  "state": "optimized geometry",
  "cell": [[-3.249, 2.713, 2.442], [-3.347, -3.519, -0.544], [3.403, -4.754, 9.810]],
  "species": ["Ba", "Ba", "Cd", "Cd", "Cd", "Ag", "Ag", "Ag", "Ag", "Ag"],
  "frac_coords": [[0.500, 0.000, 0.232], [0.000, 0.500, 0.768], [0.500, 0.000, 0.636], [0.000, 0.500, 0.364], [0.000, 0.000, 0.500], [0.500, 0.000, 0.878], [0.500, 0.500, 0.000], [0.000, 0.000, 0.000], [0.000, 0.500, 0.122], [0.500, 0.500, 0.500]],
  "dos_at_fermi_per_ev_cell": 4.595,
  "sg": "P-4m2",
  "ef_ev_per_fu": -1.946,
  "crystal_system": "tetragonal"
}

---

Record 15
{
  "formula": "P2OsRu",
  "functional": "PBE",
  "state": "optimized geometry",
  "cell": [[5.059, 0.006, 0.000], [2.639, 4.316, 0.000], [-3.849, -2.161, 2.471]],
  "species": ["Ru", "Os", "P", "P"],
  "frac_coords": [[0.500, 0.500, 0.000], [0.750, 0.250, 0.500], [0.250, 0.750, 0.500], [0.000, 0.000, 0.000]],
  "dos_at_fermi_per_ev_cell": 3.167,
  "sg": "I-4m2",
  "ef_ev_per_fu": 1.076,
  "crystal_system": "tetragonal"
}

---

Record 16
{
  "formula": "La3Pr3Hg2Rh",
  "functional": "PBE",
  "state": "optimized geometry",
  "cell": [[3.895, 0.000, 0.000], [0.000, 8.967, 0.000], [0.000, -4.484, 7.766]],
  "species": ["Rh", "Hg", "Hg", "Pr", "Pr", "Pr", "La", "La", "La"],
  "frac_coords": [[0.000, 0.000, 0.000], [0.500, 0.667, 0.333], [0.500, 0.333, 0.667], [0.000, 0.000, 0.406], [0.000, 0.594, 0.594], [0.000, 0.406, 0.000], [0.500, 0.000, 0.758], [0.500, 0.242, 0.242], [0.500, 0.758, 0.000]],
  "dos_at_fermi_per_ev_cell": 11.404,
  "sg": "P-62m",
  "ef_ev_per_fu": -3.770,
  "crystal_system": "hexagonal"
}

---

Record 17
{
  "formula": "PrHoEr2Se4",
  "functional": "PBE",
  "state": "optimized geometry",
  "cell": [[-2.970, 0.911, -2.568], [-4.807, -2.875, 4.541], [-2.254, 5.068, 4.405]],
  "species": ["Er", "Er", "Ho", "Se", "Se", "Se", "Se", "Pr"],
  "frac_coords": [[0.000, 0.000, 0.000], [0.500, 0.000, 0.500], [0.000, 0.500, 0.500], [0.000, 0.235, 0.263], [0.000, 0.765, 0.737], [0.500, 0.242, 0.745], [0.500, 0.758, 0.255], [0.500, 0.500, 0.000]],
  "dos_at_fermi_per_ev_cell": 4.276,
  "sg": "P2/m",
  "raw_formation_energy_ev_per_atom": -1.732,
  "crystal_system": "monoclinic"
}

---

Record 18
{
  "formula": "Nd3Co5N12",
  "functional": "PBE",
  "state": "optimized geometry",
  "cell": [[10.650, 0.000, 0.000], [-3.550, 10.041, 0.000], [-3.550, -5.021, 8.696]],
  "species": ["N", "N", "N", "N", "N", "N", "N", "N", "N", "N", "N", "N", "N", "N", "N", "N", "N", "N", "N", "N", "N", "N", "N", "N", "N", "N", "N", "N", "N", "N", "N", "N", "N", "N", "N", "N", "N", "N", "N", "N", "N", "N", "N", "N", "N", "N", "N", "N", "Co", "Co", "Co", "Co", "Co", "Co", "Co", "Co", "Co", "Co", "Co", "Co", "Co", "Co", "Co", "Co", "Co", "Co", "Co", "Co", "Nd", "Nd", "Nd", "Nd", "Nd", "Nd", "Nd", "Nd", "Nd", "Nd", "Nd", "Nd"],
  "frac_coords": [[0.107, 0.695, 0.508], [0.912, 0.099, 0.607], [0.588, 0.893, 0.401], [0.508, 0.195, 0.107], [0.599, 0.992, 0.687], [0.187, 0.099, 0.992], [0.099, 0.187, 0.492], [0.813, 0.912, 0.305], [0.088, 0.901, 0.393], [0.607, 0.599, 0.912], [0.195, 0.687, 0.088], [0.412, 0.107, 0.599], [0.492, 0.687, 0.099], [0.492, 0.805, 0.893], [0.901, 0.813, 0.508], [0.401, 0.008, 0.313], [0.893, 0.588, 0.901], [0.008, 0.607, 0.695], [0.893, 0.305, 0.492], [0.401, 0.393, 0.588], [0.195, 0.508, 0.607], [0.992, 0.393, 0.305], [0.992, 0.599, 0.187], [0.912, 0.813, 0.805], [0.813, 0.901, 0.008], [0.901, 0.088, 0.893], [0.107, 0.412, 0.099], [0.687, 0.195, 0.588], [0.508, 0.313, 0.901], [0.088, 0.187, 0.195], [0.588, 0.695, 0.687], [0.008, 0.401, 0.813], [0.305, 0.412, 0.813], [0.805, 0.492, 0.393], [0.412, 0.305, 0.313], [0.393, 0.992, 0.805], [0.599, 0.607, 0.412], [0.695, 0.107, 0.008], [0.695, 0.588, 0.187], [0.393, 0.401, 0.088], [0.313, 0.805, 0.412], [0.099, 0.912, 0.107], [0.305, 0.893, 0.992], [0.313, 0.508, 0.401], [0.607, 0.008, 0.195], [0.187, 0.088, 0.695], [0.687, 0.492, 0.599], [0.805, 0.313, 0.912], [0.500, 0.500, 0.000], [0.500, 0.000, 0.000], [0.000, 0.500, 0.500], [0.500, 0.500, 0.500], [0.250, 0.875, 0.125], [0.625, 0.750, 0.875], [0.250, 0.375, 0.625], [0.750, 0.625, 0.375], [0.875, 0.250, 0.625], [0.125, 0.750, 0.375], [0.625, 0.875, 0.250], [0.500, 0.000, 0.500], [0.000, 0.000, 0.500], [0.125, 0.375, 0.250], [0.375, 0.125, 0.750], [0.750, 0.125, 0.875], [0.000, 0.000, 0.000], [0.875, 0.625, 0.750], [0.375, 0.250, 0.125], [0.000, 0.500, 0.000], [0.375, 0.625, 0.250], [0.375, 0.750, 0.625], [0.750, 0.875, 0.625], [0.625, 0.375, 0.750], [0.875, 0.750, 0.125], [0.625, 0.250, 0.375], [0.125, 0.250, 0.875], [0.250, 0.125, 0.375], [0.250, 0.625, 0.875], [0.875, 0.125, 0.250], [0.750, 0.375, 0.125], [0.125, 0.875, 0.750]],
  "dos_at_fermi_per_ev_cell": 42.633,
  "sg": "Ia-3d",
  "raw_formation_energy_ev_per_atom": 0.124,
  "crystal_system": "cubic"
}

---

Record 19
{
  "formula": "IrRuOF2",
  "functional": "PBE",
  "state": "optimized geometry",
  "cell": [[-2.963, -1.597, 2.973], [-2.043, -2.301, -3.272], [2.207, -2.884, 0.650]],
  "species": ["O", "F", "F", "Ru", "Ir"],
  "frac_coords": [[0.000, 0.000, 0.500], [0.500, 0.000, 0.000], [0.000, 0.500, 0.000], [0.500, 0.500, 0.500], [0.000, 0.000, 0.000]],
  "dos_at_fermi_per_ev_cell": 5.666,
  "sg": "P4/mmm",
  "raw_formation_energy_ev_per_atom": 0.124,
  "crystal_system": "tetragonal"
}

---

Record 20
{
  "formula": "RbSrO3",
  "functional": "PBE",
  "state": "optimized geometry",
  "cell": [[-4.522, -1.135, -0.435], [0.794, -1.492, -4.366], [0.920, -4.290, 1.634]],
  "species": ["Sr", "O", "O", "O", "Rb"],
  "frac_coords": [[0.000, 0.000, 0.000], [0.500, 0.000, 0.000], [0.000, 0.500, 0.000], [0.000, 0.000, 0.500], [0.500, 0.500, 0.500]],
  "dos_at_fermi_per_ev_cell": 3.998,
  "sg": "Pm-3m",
  "raw_formation_energy_ev_per_atom": -0.920,
  "crystal_system": "cubic"
}

---

Record 21
{
  "formula": "SbHRh2O",
  "functional": "PBE",
  "state": "optimized geometry",
  "cell": [[4.996, 0.000, 0.000], [0.000, 4.038, 0.000], [0.000, 0.000, 4.996]],
  "species": ["H", "Rh", "Rh", "O", "Sb"],
  "frac_coords": [[0.500, 0.500, 0.500], [0.500, 0.000, 0.000], [0.000, 0.000, 0.500], [0.000, 0.500, 0.000], [0.000, 0.000, 0.000]],
  "dos_at_fermi_per_ev_cell": 5.892,
  "sg": "P4/mmm",
  "total_energy_ev_per_atom": -4.358,
  "crystal_system": "tetragonal"
}

---

Record 22
{
  "formula": "ZnCr2Si",
  "functional": "PBE",
  "state": "optimized geometry",
  "cell": [[-1.796, 4.020, 0.947], [-3.575, 2.202, 1.629], [1.285, 0.343, 4.266]],
  "species": ["Zn", "Cr", "Cr", "Si"],
  "frac_coords": [[0.751, 0.751, 0.754], [0.244, 0.244, 0.254], [0.000, 0.000, 0.001], [0.504, 0.504, 0.491]],
  "dos_at_fermi_per_ev_cell": 3.979,
  "sg": "Cm",
  "raw_formation_energy_ev_per_atom": 0.139,
  "crystal_system": "monoclinic"
}

---

Record 23
{
  "formula": "YInS2",
  "functional": "PBE",
  "state": "optimized geometry",
  "cell": [[-1.956, -3.689, -6.087], [6.970, 0.285, -2.413], [3.418, -5.739, -2.096]],
  "species": ["S", "S", "S", "S", "In", "In", "Y", "Y"],
  "frac_coords": [[0.570, 0.125, 0.250], [0.875, 0.820, 0.750], [0.375, 0.430, 0.750], [0.180, 0.625, 0.250], [0.750, 0.250, 0.500], [0.000, 0.000, 0.000], [0.500, 0.500, 0.000], [0.250, 0.750, 0.500]],
  "dos_at_fermi_per_ev_cell": 0.000,
  "sg": "I-42d",
  "raw_formation_energy_ev_per_atom": -1.155,
  "crystal_system": "tetragonal"
}